# 1
Crystalline Sr2CaHg at its relaxed geometry, computed with PBEsol.

Geometry as CIF:
```
data_Sr2CaHg
_chemical_formula_sum 'Sr2 Ca1 Hg1'
_cell_length_a 3.9531
_cell_length_b 3.9531
_cell_length_c 9.6782
_cell_angle_alpha 90.00
_cell_angle_beta 90.00
_cell_angle_gamma 90.00
_symmetry_space_group_name_H-M 'P 1'
_symmetry_Int_Tables_number 1
loop_
_symmetry_equiv_pos_as_xyz
'x,y,z'
loop_
_atom_site_label
_atom_site_type_symbol
_atom_site_fract_x
_atom_site_fract_y
_atom_site_fract_z
Sr1 Sr 0.0000 0.0000 0.6942
Sr2 Sr 0.0000 0.0000 0.3058
Ca1 Ca 0.5000 0.5000 0.0000
Hg1 Hg 0.5000 0.5000 0.5000
```

Output
As for the total energy: -1.893 eV/atom.


# 2
Crystalline Sr2CaHg at its relaxed geometry, computed with PBEsol.

Geometry as CIF:
```
data_Sr2CaHg
_chemical_formula_sum 'Sr2 Ca1 Hg1'
_cell_length_a 3.9873
_cell_length_b 6.0201
_cell_length_c 7.2529
_cell_angle_alpha 114.52
_cell_angle_beta 105.95
_cell_angle_gamma 90.00
_symmetry_space_group_name_H-M 'P 1'
_symmetry_Int_Tables_number 1
loop_
_symmetry_equiv_pos_as_xyz
'x,y,z'
loop_
_atom_site_label
_atom_site_type_symbol
_atom_site_fract_x
_atom_site_fract_y
_atom_site_fract_z
Ca1 Ca 0.5554 0.5554 0.1108
Sr1 Sr 0.9494 0.9494 0.8989
Sr2 Sr 0.7514 0.2514 0.5028
Hg1 Hg 0.2438 0.7438 0.4876
```

Output
As for the total energy: -1.864 eV/atom.


# 3
Crystalline Sr2CaHg at its relaxed geometry, computed with PBEsol.

Geometry as CIF:
```
data_Sr2CaHg
_chemical_formula_sum 'Sr2 Ca1 Hg1'
_cell_length_a 4.3053
_cell_length_b 4.7427
_cell_length_c 8.2891
_cell_angle_alpha 106.62
_cell_angle_beta 90.00
_cell_angle_gamma 90.00
_symmetry_space_group_name_H-M 'P 1'
_symmetry_Int_Tables_number 1
loop_
_symmetry_equiv_pos_as_xyz
'x,y,z'
loop_
_atom_site_label
_atom_site_type_symbol
_atom_site_fract_x
_atom_site_fract_y
_atom_site_fract_z
Sr1 Sr 0.5000 0.3193 0.6386
Sr2 Sr 0.0000 0.9788 0.9575
Hg1 Hg 0.5000 0.5297 0.0594
Ca1 Ca 0.0000 0.6724 0.3447
```

Output
As for the total energy: -1.829 eV/atom.


# 4
Crystalline SrCaHg2 at its relaxed geometry, computed with PBEsol.

Geometry as CIF:
```
data_SrCaHg2
_chemical_formula_sum 'Sr1 Ca1 Hg2'
_cell_length_a 3.8144
_cell_length_b 3.8144
_cell_length_c 7.6284
_cell_angle_alpha 90.00
_cell_angle_beta 90.00
_cell_angle_gamma 90.00
_symmetry_space_group_name_H-M 'P 1'
_symmetry_Int_Tables_number 1
loop_
_symmetry_equiv_pos_as_xyz
'x,y,z'
loop_
_atom_site_label
_atom_site_type_symbol
_atom_site_fract_x
_atom_site_fract_y
_atom_site_fract_z
Ca1 Ca 0.5000 0.5000 0.0000
Hg1 Hg 0.0000 0.0000 0.7679
Hg2 Hg 0.0000 0.0000 0.2321
Sr1 Sr 0.5000 0.5000 0.5000
```

Output
Its distance to the lowest polymorph of the same formula is 0 kJ/mol of formula units.


# 5
Crystalline SrCaHg at its relaxed geometry, computed with PBEsol.

Geometry as CIF:
```
data_SrCaHg
_chemical_formula_sum 'Sr1 Ca1 Hg1'
_cell_length_a 3.8598
_cell_length_b 3.8598
_cell_length_c 7.2669
_cell_angle_alpha 105.40
_cell_angle_beta 105.40
_cell_angle_gamma 90.00
_symmetry_space_group_name_H-M 'P 1'
_symmetry_Int_Tables_number 1
loop_
_symmetry_equiv_pos_as_xyz
'x,y,z'
loop_
_atom_site_label
_atom_site_type_symbol
_atom_site_fract_x
_atom_site_fract_y
_atom_site_fract_z
Hg1 Hg 0.6583 0.6583 0.3167
Sr1 Sr 0.3063 0.3063 0.6126
Ca1 Ca 0.0353 0.0353 0.0707
```

Output
As for the total energy: -1.933 eV/atom.


# 6
Crystalline SrCa2Hg2 at its relaxed geometry, computed with PBEsol.

Geometry as CIF:
```
data_SrCa2Hg2
_chemical_formula_sum 'Sr2 Ca4 Hg4'
_cell_length_a 3.5848
_cell_length_b 8.9154
_cell_length_c 8.9154
_cell_angle_alpha 90.00
_cell_angle_beta 90.00
_cell_angle_gamma 90.00
_symmetry_space_group_name_H-M 'P 1'
_symmetry_Int_Tables_number 1
loop_
_symmetry_equiv_pos_as_xyz
'x,y,z'
loop_
_atom_site_label
_atom_site_type_symbol
_atom_site_fract_x
_atom_site_fract_y
_atom_site_fract_z
Ca1 Ca 0.0000 0.1322 0.3678
Ca2 Ca 0.0000 0.8678 0.6322
Hg1 Hg 0.5000 0.8361 0.3361
Hg2 Hg 0.5000 0.6639 0.8361
Sr1 Sr 0.0000 0.0000 0.0000
Ca3 Ca 0.0000 0.3678 0.8678
Hg3 Hg 0.5000 0.1639 0.6639
Sr2 Sr 0.0000 0.5000 0.5000
Hg4 Hg 0.5000 0.3361 0.1639
Ca4 Ca 0.0000 0.6322 0.1322
```

Output
Its distance to the lowest polymorph of the same formula is 0 kJ/mol of formula units.